i.
MgScBe | PBE | optimized geometry

Calculated values
Space group = P3m1
Calculated volume = 55.14 Å³/f.u.

Cell lengths 4.4993, 4.4993, 3.1454 Å; angles 90.00, 90.00, 120.00 degrees
Closest atoms and distances in Å follow each position.
Sites, in units of the cell vectors:
Mg (0.6667, 0.3333, 0.1645)  3 Be 2.60
Be (0.0000, 0.0000, 0.1694)  3 Mg 2.60
Sc (0.3333, 0.6667, 0.6661)  6 Be 3.03-3.04, 6 Mg 3.03-3.04, 2 Sc 3.15

***

ii.
MgScBe | PBE | optimized geometry

Calculated values
Space group = F-43m
Calculated volume = 67.06 Å³/f.u.

Cell lengths 4.5603, 4.5603, 4.5603 Å; angles 60.00, 60.00, 60.00 degrees
Closest atoms and distances in Å follow each position.
Sites, in units of the cell vectors:
Mg (0.5000, 0.5000, 0.5000)  4 Sc 2.79
Sc (0.2500, 0.2500, 0.2500)  4 Be 2.79, 4 Mg 2.79
Be (0.0000, 0.0000, 0.0000)  4 Sc 2.79

***

iii.
MgScBe | PBE | optimized geometry

Calculated values
Space group = F-43m
Calculated volume = 59.74 Å³/f.u.

Cell lengths 4.3879, 4.3879, 4.3879 Å; angles 60.00, 60.00, 60.00 degrees
Closest atoms and distances in Å follow each position.
Sites, in units of the cell vectors:
Sc (0.5000, 0.5000, 0.5000)  4 Be 2.69
Mg (0.0000, 0.0000, 0.0000)  4 Be 2.69
Be (0.2500, 0.2500, 0.2500)  4 Mg 2.69, 4 Sc 2.69

***

Most stable structure: i

***

i.
MgBe2Se | PBE | optimized geometry

Calculated values
Space group = P4mm
Calculated volume = 60.21 Å³/f.u.

Cell lengths 3.2449, 3.2449, 5.7188 Å; angles 90.00, 90.00, 90.00 degrees
Closest atoms and distances in Å follow each position.
Sites, in units of the cell vectors:
Be (0.0000, 0.0000, 0.0017)  4 Se 2.51, 4 Be 2.57, 1 Mg 2.67
Be (0.5000, 0.5000, 0.2055)  1 Se 2.18
Mg (0.0000, 0.0000, 0.4679)  5 Be 2.67-2.74
Se (0.5000, 0.5000, 0.8249)  1 Be 2.18

***

ii.
MgBe2Se | PBE | optimized geometry

Calculated values
Space group = Pmmm
Calculated volume = 62.12 Å³/f.u.

Cell lengths 3.6351, 3.6485, 4.6842 Å; angles 90.00, 90.00, 90.00 degrees
Closest atoms and distances in Å follow each position.
Sites, in units of the cell vectors:
Be (0.0000, 0.0000, 0.0000)  4 Be 2.58
Be (0.5000, 0.5000, 0.0000)  4 Be 2.58
Mg (0.5000, 0.0000, 0.5000)  4 Se 2.58
Se (0.0000, 0.5000, 0.5000)  4 Mg 2.58

***

iii.
MgBe2Se | PBE | optimized geometry

Calculated values
Space group = I-4m2
Calculated volume = 58.60 Å³/f.u.

Cell lengths 5.1102, 5.1102, 5.1102 Å; angles 138.23, 138.23, 60.56 degrees
Closest atoms and distances in Å follow each position.
Sites, in units of the cell vectors:
Be (0.0000, 0.0000, 0.0000)  4 Mg 2.58, 4 Be 2.86, 4 Se 2.86
Be (0.2500, 0.7500, 0.5000)  4 Se 2.58, 4 Be 2.86, 4 Mg 2.86
Se (0.7500, 0.2500, 0.5000)  8 Be 2.58-2.86, 4 Mg 2.86
Mg (0.5000, 0.5000, 0.0000)  8 Be 2.58-2.86, 4 Se 2.86

***

iv.
MgBe2Se | PBE | optimized geometry

Calculated values
Space group = I-42d
Calculated volume = 77.33 Å³/f.u.

Cell lengths 6.1196, 6.1196, 5.9816 Å; angles 59.23, 59.23, 90.00 degrees
Closest atoms and distances in Å follow each position.
Sites, in units of the cell vectors:
Be (0.3750, 0.3185, 0.7500)  2 Se 2.19
Be (0.0685, 0.6250, 0.2500)  2 Se 2.19
Be (0.6815, 0.1250, 0.2500)  2 Se 2.19
Be (0.8750, 0.9315, 0.7500)  2 Se 2.19
Mg (0.2500, 0.7500, 0.5000)  4 Be 2.63
Mg (0.5000, 0.5000, 0.0000)  4 Be 2.63
Se (0.0000, 0.0000, 0.0000)  4 Be 2.19
Se (0.7500, 0.2500, 0.5000)  4 Be 2.19

***

Most stable structure: i